(1)
Entry from Alexandria via LeMat-Bulk: an optimized crystal structure of BeGaTe2H (GGA-PBE). Values from VASP.

Geometry as Quantum ESPRESSO input:
```
&SYSTEM
  ibrav = 0, nat = 5, ntyp = 4
/
ATOMIC_SPECIES
Be 9.01 Be.upf
Ga 69.72 Ga.upf
Te 127.60 Te.upf
H 1.01 H.upf
CELL_PARAMETERS angstrom
6.143 0.000 0.000
0.000 6.143 0.000
0.000 0.000 2.879
ATOMIC_POSITIONS crystal
Be 0.000 0.000 0.000
Ga 0.500 0.500 0.000
Te 0.000 0.500 0.500
Te 0.500 0.000 0.500
H 0.000 0.000 0.500
```

DOS(E_F), states/eV/f.u.: 0.95
Total magnetization, μB/f.u.: 0.00
ρ, Mg/m³: 5.1
VASP energy, eV for the cell shown: -14.52


(2)
Entry from Alexandria via LeMat-Bulk: an optimized crystal structure of AgAsW2 (GGA-PBE). Values from VASP.

Geometry as Quantum ESPRESSO input:
```
&SYSTEM
  ibrav = 0, nat = 4, ntyp = 3
/
ATOMIC_SPECIES
Ag 107.87 Ag.upf
As 74.92 As.upf
W 183.84 W.upf
CELL_PARAMETERS angstrom
1.454 0.840 8.965
-1.454 0.840 8.965
0.000 -1.679 8.965
ATOMIC_POSITIONS crystal
Ag 0.000 0.000 0.000
As 0.500 0.500 0.500
W 0.243 0.243 0.243
W 0.757 0.757 0.757
```

DOS(E_F), states/eV/f.u.: 2.71
Total magnetization, μB/f.u.: 0.00
Formation enthalpy at 0 K, kJ/mol of atoms: 55.5
ρ, Mg/m³: 13.9